# 1
DFT (PBE-GGA) results for a relaxed structure of K2ZrPb.

## Properties
As for the calculated total energy: -49.078 eV for the cell shown. The formation enthalpy at 0 K comes out at 545 meV/atom. The size of the total moment is 2.00 μB per formula unit. As for the density: 4.8 g/cm3. The volume comes out at 520 Å³ per cell.

The structure in CIF format:
```
data_K2ZrPb
_cell_length_a 8.040
_cell_length_b 8.040
_cell_length_c 8.040
_cell_angle_alpha 90.00
_cell_angle_beta 90.00
_cell_angle_gamma 90.00
_space_group_name_H-M_alt 'F -4 3 m'
_space_group_IT_number 216
_space_group_name_Hall 'F -4 2 3'
loop_
_atom_site_label
_atom_site_type_symbol
_atom_site_fract_x
_atom_site_fract_y
_atom_site_fract_z
K1 K 0.000 0.000 0.000
K2 K 0.250 0.250 0.250
Zr1 Zr 0.250 0.250 0.750
Pb1 Pb 0.000 0.000 0.500
```



# 2
DFT (PBE-GGA) results for a relaxed structure of K2Cu2AuBr6.

## Properties
As for the calculated total energy: -64.114 eV for the cell shown. The size of the total moment is 0.00 μB per formula unit. As for the density: 4.2 g/cm3. The calculation puts the energy relative to the elements, uncorrected at -760 meV/atom. The volume comes out at 695 Å³ per cell.

The structure in CIF format:
```
data_K2Cu2AuBr6
_cell_length_a 14.451
_cell_length_b 7.322
_cell_length_c 7.124
_cell_angle_alpha 90.00
_cell_angle_beta 112.77
_cell_angle_gamma 90.00
_space_group_name_H-M_alt 'C 1 2/m 1'
_space_group_IT_number 12
_space_group_name_Hall '-C 2y'
loop_
_atom_site_label
_atom_site_type_symbol
_atom_site_fract_x
_atom_site_fract_y
_atom_site_fract_z
K1 K 0.229 0.000 0.201
Cu1 Cu 0.047 0.500 0.203
Au1 Au 0.000 0.000 0.500
Br1 Br 0.058 0.248 0.790
Br2 Br 0.222 0.500 0.304
```



# 3
DFT (PBE-GGA) results for a relaxed structure of Mg2Zn2Cd7.

## Properties
As for the calculated total energy: -23.749 eV for the cell shown. The formation enthalpy at 0 K comes out at 24 meV/atom. The size of the total moment is 0.00 μB per formula unit. As for the density: 6.7 g/cm3. The volume comes out at 478 Å³ per cell.

The structure in CIF format:
```
data_Mg2Zn2Cd7
_cell_length_a 4.905
_cell_length_b 15.457
_cell_length_c 6.308
_cell_angle_alpha 90.00
_cell_angle_beta 90.00
_cell_angle_gamma 90.00
_space_group_name_H-M_alt 'I m m 2'
_space_group_IT_number 44
_space_group_name_Hall 'I 2 -2'
loop_
_atom_site_label
_atom_site_type_symbol
_atom_site_fract_x
_atom_site_fract_y
_atom_site_fract_z
Mg1 Mg 0.000 0.189 0.000
Zn1 Zn 0.000 0.000 0.254
Zn2 Zn 0.000 0.500 0.040
Cd1 Cd 0.000 0.000 0.799
Cd2 Cd 0.000 0.171 0.491
Cd3 Cd 0.000 0.350 0.260
Cd4 Cd 0.000 0.386 0.715
```



# 4
DFT (PBE-GGA) results for a relaxed structure of Ce5BiAs4.

## Properties
As for the calculated total energy: -129.776 eV for the cell shown. The formation enthalpy at 0 K comes out at -1274 meV/atom. The size of the total moment is 3.89 μB per formula unit. As for the density: 7.2 g/cm3. The volume comes out at 560 Å³ per cell.

The structure in CIF format:
```
data_Ce5BiAs4
_cell_length_a 14.251
_cell_length_b 4.280
_cell_length_c 10.555
_cell_angle_alpha 90.00
_cell_angle_beta 119.63
_cell_angle_gamma 90.00
_space_group_name_H-M_alt 'C 1 2/m 1'
_space_group_IT_number 12
_space_group_name_Hall '-C 2y'
loop_
_atom_site_label
_atom_site_type_symbol
_atom_site_fract_x
_atom_site_fract_y
_atom_site_fract_z
Ce1 Ce 0.000 0.000 0.000
Ce2 Ce 0.109 0.500 0.391
Ce3 Ce 0.205 0.000 0.814
Bi1 Bi 0.000 0.000 0.500
As1 As 0.097 0.500 0.897
As2 As 0.203 0.000 0.295
```



# 5
DFT (PBE-GGA) results for a relaxed structure of ScBeRu2.

## Properties
As for the calculated total energy: -29.030 eV for the cell shown. The formation enthalpy at 0 K comes out at -105 meV/atom. The size of the total moment is 0.00 μB per formula unit. As for the density: 7.4 g/cm3. The volume comes out at 57 Å³ per cell.

The structure in CIF format:
```
data_ScBeRu2
_cell_length_a 2.847
_cell_length_b 3.781
_cell_length_c 5.339
_cell_angle_alpha 90.00
_cell_angle_beta 90.00
_cell_angle_gamma 90.00
_space_group_name_H-M_alt 'P m m 2'
_space_group_IT_number 25
_space_group_name_Hall 'P 2 -2'
loop_
_atom_site_label
_atom_site_type_symbol
_atom_site_fract_x
_atom_site_fract_y
_atom_site_fract_z
Sc1 Sc 0.000 0.000 0.000
Be1 Be 0.500 0.500 0.283
Ru1 Ru 0.000 0.000 0.489
Ru2 Ru 0.500 0.500 0.722
```



# 6
DFT (PBE-GGA) results for a relaxed structure of AgAu2Br.

## Properties
As for the calculated total energy: -10.421 eV for the cell shown. The size of the total moment is 0.00 μB per formula unit. As for the density: 10.2 g/cm3. The calculation puts the energy relative to the elements, uncorrected at 164 meV/atom. The volume comes out at 94 Å³ per cell.

The structure in CIF format:
```
data_AgAu2Br
_cell_length_a 3.478
_cell_length_b 4.208
_cell_length_c 6.441
_cell_angle_alpha 90.00
_cell_angle_beta 90.00
_cell_angle_gamma 90.00
_space_group_name_H-M_alt 'P m m m'
_space_group_IT_number 47
_space_group_name_Hall '-P 2 2'
loop_
_atom_site_label
_atom_site_type_symbol
_atom_site_fract_x
_atom_site_fract_y
_atom_site_fract_z
Ag1 Ag 0.000 0.000 0.000
Au1 Au 0.000 0.500 0.500
Au2 Au 0.500 0.000 0.500
Br1 Br 0.500 0.500 0.000
```



# 7
DFT (PBE-GGA) results for a relaxed structure of NaCe2Pm3S6.

## Properties
As for the calculated total energy: -151.418 eV for the cell shown. The size of the total moment is 1.75 μB per formula unit. As for the density: 5.5 g/cm3. The calculation puts the energy relative to the elements, uncorrected at -1959 meV/atom. The volume comes out at 558 Å³ per cell.

The structure in CIF format:
```
data_NaCe2Pm3S6
_cell_length_a 17.614
_cell_length_b 4.021
_cell_length_c 8.100
_cell_angle_alpha 90.00
_cell_angle_beta 103.43
_cell_angle_gamma 90.00
_space_group_name_H-M_alt 'C 1 2/m 1'
_space_group_IT_number 12
_space_group_name_Hall '-C 2y'
loop_
_atom_site_label
_atom_site_type_symbol
_atom_site_fract_x
_atom_site_fract_y
_atom_site_fract_z
Na1 Na 0.000 0.000 0.000
Ce1 Ce 0.167 0.500 0.336
Pm1 Pm 0.000 0.000 0.500
Pm2 Pm 0.165 0.500 0.828
S1 S 0.001 0.500 0.252
S2 S 0.165 0.000 0.583
S3 S 0.167 0.000 0.083
```



# 8
DFT (PBE-GGA) results for a relaxed structure of PrZn3Ru.

## Properties
As for the calculated total energy: -75.542 eV for the cell shown. The formation enthalpy at 0 K comes out at -202 meV/atom. The size of the total moment is 0.00 μB per formula unit. As for the density: 7.7 g/cm3. The volume comes out at 377 Å³ per cell.

The structure in CIF format:
```
data_PrZn3Ru
_cell_length_a 5.879
_cell_length_b 12.099
_cell_length_c 5.300
_cell_angle_alpha 90.00
_cell_angle_beta 90.00
_cell_angle_gamma 90.00
_space_group_name_H-M_alt 'C m c m'
_space_group_IT_number 63
_space_group_name_Hall '-C 2c 2'
loop_
_atom_site_label
_atom_site_type_symbol
_atom_site_fract_x
_atom_site_fract_y
_atom_site_fract_z
Pr1 Pr 0.000 0.109 0.250
Zn1 Zn 0.000 0.310 0.750
Zn2 Zn 0.234 0.356 0.250
Ru1 Ru 0.000 0.500 0.000
```



# 9
DFT (PBE-GGA) results for a relaxed structure of NdHo8Er4.

## Properties
As for the calculated total energy: -170.972 eV for the cell shown. The formation enthalpy at 0 K comes out at 204 meV/atom. The size of the total moment is 0.00 μB per formula unit. As for the density: 8.7 g/cm3. The volume comes out at 1226 Å³ per cell.

The structure in CIF format:
```
data_NdHo8Er4
_cell_length_a 7.2426
_cell_length_b 7.2426
_cell_length_c 26.9786
_cell_angle_alpha 90.00
_cell_angle_beta 90.00
_cell_angle_gamma 120.00
_space_group_name_H-M_alt 'R -3 m'
_space_group_IT_number 166
_space_group_name_Hall '-R 3 2"'
loop_
_atom_site_label
_atom_site_type_symbol
_atom_site_fract_x
_atom_site_fract_y
_atom_site_fract_z
Nd1 Nd 0.0000 0.0000 0.0000
Ho1 Ho 0.0000 0.0000 0.2819
Ho2 Ho 0.0368 0.5184 0.2678
Er1 Er 0.0000 0.0000 0.5000
Er2 Er 0.0000 0.5000 0.5000
```



# 10
DFT (PBE-GGA) results for a relaxed structure of NaY2Au.

## Properties
As for the calculated total energy: -73.656 eV for the cell shown. The formation enthalpy at 0 K comes out at -222 meV/atom. The size of the total moment is 0.00 μB per formula unit. As for the density: 6.5 g/cm3. The volume comes out at 406 Å³ per cell.

The structure in CIF format:
```
data_NaY2Au
_cell_length_a 7.405
_cell_length_b 7.405
_cell_length_c 7.405
_cell_angle_alpha 90.00
_cell_angle_beta 90.00
_cell_angle_gamma 90.00
_space_group_name_H-M_alt 'F m -3 m'
_space_group_IT_number 225
_space_group_name_Hall '-F 4 2 3'
loop_
_atom_site_label
_atom_site_type_symbol
_atom_site_fract_x
_atom_site_fract_y
_atom_site_fract_z
Na1 Na 0.000 0.000 0.000
Y1 Y 0.250 0.250 0.250
Au1 Au 0.000 0.000 0.500
```



# 11
DFT (PBE-GGA) results for a relaxed structure of ScIn3O.

## Properties
As for the calculated total energy: -14.956 eV for the cell shown. The size of the total moment is 1.82 μB per formula unit. As for the density: 3.7 g/cm3. The calculation puts the energy relative to the elements, uncorrected at 910 meV/atom. The volume comes out at 181 Å³ per cell.

The structure in CIF format:
```
data_ScIn3O
_cell_length_a 5.661
_cell_length_b 5.661
_cell_length_c 5.661
_cell_angle_alpha 90.00
_cell_angle_beta 90.00
_cell_angle_gamma 90.00
_space_group_name_H-M_alt 'P m -3 m'
_space_group_IT_number 221
_space_group_name_Hall '-P 4 2 3'
loop_
_atom_site_label
_atom_site_type_symbol
_atom_site_fract_x
_atom_site_fract_y
_atom_site_fract_z
Sc1 Sc 0.000 0.000 0.000
In1 In 0.000 0.000 0.500
O1 O 0.500 0.500 0.500
```



# 12
DFT (PBE-GGA) results for a relaxed structure of Y2InGaNi.

## Properties
As for the calculated total energy: -24.555 eV for the cell shown. The formation enthalpy at 0 K comes out at -16 meV/atom. The size of the total moment is 0.00 μB per formula unit. As for the density: 5.4 g/cm3. The volume comes out at 130 Å³ per cell.

The structure in CIF format:
```
data_Y2InGaNi
_cell_length_a 5.439
_cell_length_b 5.439
_cell_length_c 4.394
_cell_angle_alpha 90.00
_cell_angle_beta 90.00
_cell_angle_gamma 90.00
_space_group_name_H-M_alt 'P 4/m m m'
_space_group_IT_number 123
_space_group_name_Hall '-P 4 2'
loop_
_atom_site_label
_atom_site_type_symbol
_atom_site_fract_x
_atom_site_fract_y
_atom_site_fract_z
Y1 Y 0.000 0.500 0.000
In1 In 0.000 0.000 0.500
Ga1 Ga 0.500 0.500 0.000
Ni1 Ni 0.500 0.500 0.500
```